[1]
An optimized crystal structure of Cs2TlHgGe, computed with GGA-PBE.

Computed properties:
E_form (eV per formula unit): 0.0
DOS(E_F) (states/eV/atom): 0.267

Cell: 7.3183 7.3183 5.3909 Å, 90.00 90.00 90.00°
Closest atoms and distances in Å follow each position.
Atoms (fractional coordinates):
Cs: 0.0000 0.5000 0.0000  2 Ge 3.66
Cs: 0.5000 0.0000 0.0000  2 Ge 3.66
Tl: 0.0000 0.0000 0.5000  2 Ge 2.70
Hg: 0.5000 0.5000 0.5000  8 Cs 4.54
Ge: 0.0000 0.0000 0.0000  2 Tl 2.70

***

[2]
An optimized crystal structure of CsTl2HgGe, computed with GGA-PBE.

Computed properties:
E_form (eV per formula unit): 0.3
DOS(E_F) (states/eV/atom): 0.568

Cell: 5.7059 5.7059 5.8422 Å, 90.00 90.00 90.00°
Closest atoms and distances in Å follow each position.
Atoms (fractional coordinates):
Cs: 0.0000 0.0000 0.0000  4 Hg 4.03, 8 Tl 4.08
Tl: 0.0000 0.5000 0.5000  2 Ge 2.85
Tl: 0.5000 0.0000 0.5000  2 Ge 2.85
Hg: 0.5000 0.5000 0.0000  2 Ge 2.92
Ge: 0.5000 0.5000 0.5000  4 Tl 2.85, 2 Hg 2.92

***

[3]
An optimized crystal structure of CsV2HgGe, computed with GGA-PBE.

Computed properties:
E_form (eV per formula unit): 4.3
DOS(E_F) (states/eV/atom): 1.966

Cell: 4.8803 4.8803 5.5959 Å, 90.00 90.00 90.00°
Closest atoms and distances in Å follow each position.
Atoms (fractional coordinates):
Cs: 0.0000 0.0000 0.0000  4 Hg 3.45, 8 V 3.71
V: 0.0000 0.5000 0.5000  2 Ge 2.44
V: 0.5000 0.0000 0.5000  2 Ge 2.44
Hg: 0.5000 0.5000 0.0000  2 Ge 2.80
Ge: 0.5000 0.5000 0.5000  4 V 2.44

***

[4]
An optimized crystal structure of Cs2ZnHgGe, computed with GGA-PBE.

Computed properties:
E_form (eV per formula unit): 0.0
Energy relative to the lowest polymorph listed for this composition (meV per atom): 0
DOS(E_F) (states/eV/atom): 0.398

Cell: 7.1317 7.1317 4.5606 Å, 90.00 90.00 90.00°
Closest atoms and distances in Å follow each position.
Atoms (fractional coordinates):
Cs: 0.0000 0.5000 0.0000  2 Zn 3.57
Cs: 0.5000 0.0000 0.0000  2 Zn 3.57
Zn: 0.0000 0.0000 0.0000  2 Ge 2.28
Hg: 0.5000 0.5000 0.5000  8 Cs 4.23, 2 Hg 4.56
Ge: 0.0000 0.0000 0.5000  2 Zn 2.28

***

[5]
An optimized crystal structure of CsHoGe2I8, computed with GGA-PBE.

Computed properties:
Formation energy from raw total energies (eV per atom): -0.821
DOS(E_F) (states/eV/atom): 0.000

Cell: 7.2245 7.8294 11.0416 Å, 94.11 91.72 96.51°
Closest atoms and distances in Å follow each position.
Atoms (fractional coordinates):
Cs: 0.0000 0.0000 0.0000  6 I 3.88-3.99
Ho: 0.0000 0.0000 0.5000  6 I 2.99-3.08
Ge: 0.4351 0.5507 0.3076  2 I 2.67-2.80
Ge: 0.5649 0.4493 0.6924  2 I 2.67-2.80
I: 0.2261 0.6890 0.4922  1 Ge 2.80, 1 Ho 3.08
I: 0.2341 0.1677 0.3135  1 Ho 2.99, 1 Ge 3.19
I: 0.2511 0.6032 0.1030  1 Ge 2.67
I: 0.2629 0.1573 0.7098  1 Ge 3.00, 1 Ho 3.05
I: 0.7371 0.8427 0.2902  1 Ge 3.00, 1 Ho 3.05
I: 0.7489 0.3968 0.8970  1 Ge 2.67
I: 0.7659 0.8323 0.6865  1 Ho 2.99, 1 Ge 3.19
I: 0.7739 0.3110 0.5078  1 Ge 2.80, 1 Ho 3.08

***

[6]
An optimized crystal structure of CsHoGeI6, computed with GGA-PBE.

Computed properties:
Formation energy from raw total energies (eV per atom): -1.081
DOS(E_F) (states/eV/atom): 0.000

Cell: 7.8518 7.8518 8.6986 Å, 90.00 90.00 120.00°
Closest atoms and distances in Å follow each position.
Atoms (fractional coordinates):
Cs: 0.0000 0.0000 0.0000  6 I 3.91
Ho: 0.6667 0.3333 0.5000  6 I 3.03
Ge: 0.3333 0.6667 0.5000  6 I 3.03
I: 0.9997 0.3717 0.7005  1 Ho 3.03, 1 Ge 3.03
I: 0.9997 0.6280 0.2995  1 Ho 3.03, 1 Ge 3.03
I: 0.3720 0.0003 0.7005  1 Ho 3.03, 1 Ge 3.03
I: 0.3720 0.3717 0.2995  1 Ho 3.03, 1 Ge 3.03
I: 0.6283 0.0003 0.2995  1 Ho 3.03, 1 Ge 3.03
I: 0.6283 0.6280 0.7005  1 Ho 3.03, 1 Ge 3.03

***

[7]
An optimized crystal structure of CsHoGeO4, computed with GGA-PBE.

Computed properties:
Formation energy from raw total energies (eV per atom): -2.389
DOS(E_F) (states/eV/atom): 0.000

Cell: 5.7706 5.9756 8.1318 Å, 90.00 108.93 90.00°
Closest atoms and distances in Å follow each position.
Atoms (fractional coordinates):
Cs: 0.1948 0.2500 0.4336  2 O 2.85-3.11
Cs: 0.8052 0.7500 0.5664  2 O 2.85-3.11
Ho: 0.2999 0.2500 0.9652  6 O 2.26-2.40
Ho: 0.7001 0.7500 0.0348  6 O 2.26-2.40
Ge: 0.2421 0.7500 0.1458  4 O 1.77-1.80
Ge: 0.7579 0.2500 0.8542  4 O 1.77-1.80
O: 0.0228 0.7500 0.9354  1 Ge 1.77
O: 0.0546 0.7500 0.2797  1 Ge 1.77
O: 0.4567 0.5253 0.1607  1 Ge 1.80
O: 0.4567 0.9747 0.1607  1 Ge 1.80
O: 0.5433 0.0253 0.8393  1 Ge 1.80
O: 0.5433 0.4747 0.8393  1 Ge 1.80
O: 0.9454 0.2500 0.7203  1 Ge 1.77
O: 0.9772 0.2500 0.0646  1 Ge 1.77

***

[8]
An optimized crystal structure of Cs2HoGeO4, computed with GGA-PBE.

Computed properties:
Formation energy from raw total energies (eV per atom): -1.847
DOS(E_F) (states/eV/atom): 0.276

Cell: 13.9483 12.5609 7.3011 Å, 84.83 63.75 31.42°
Closest atoms and distances in Å follow each position.
Atoms (fractional coordinates):
Cs: 0.0539 0.0539 0.6961  4 O 3.52-3.60
Cs: 0.3039 0.3039 0.9461  4 O 3.52-3.60
Cs: 0.6961 0.6961 0.0539  4 O 3.52-3.60
Cs: 0.9461 0.9461 0.3039  4 O 3.52-3.60
Ho: 0.1250 0.1250 0.1250  4 O 2.17
Ho: 0.8750 0.8750 0.8750  4 O 2.17
Ge: 0.3750 0.3750 0.3750  4 O 1.84
Ge: 0.6250 0.6250 0.6250  4 O 1.84
O: 0.0506 0.6252 0.5428  1 Ge 1.84
O: 0.2814 0.5428 0.6252  1 Ge 1.84
O: 0.3748 0.9494 0.7186  1 Ge 1.84
O: 0.4572 0.7186 0.9494  1 Ge 1.84
O: 0.5428 0.2814 0.0506  1 Ge 1.84
O: 0.6252 0.0506 0.2814  1 Ge 1.84
O: 0.7186 0.4572 0.3748  1 Ge 1.84
O: 0.9494 0.3748 0.4572  1 Ge 1.84

***

[9]
An optimized crystal structure of Cs2HoGe2O6, computed with GGA-PBE.

Computed properties:
Formation energy from raw total energies (eV per atom): -2.016
DOS(E_F) (states/eV/atom): 0.129

Cell: 7.0898 7.0898 7.0898 Å, 51.70 51.70 51.70°
Closest atoms and distances in Å follow each position.
Atoms (fractional coordinates):
Cs: 0.2203 0.2203 0.2203  9 O 3.19-3.31
Cs: 0.7797 0.7797 0.7797  9 O 3.19-3.31
Ho: 0.0000 0.0000 0.0000  6 O 2.27
Ge: 0.4250 0.4250 0.4250  3 O 1.75
Ge: 0.5750 0.5750 0.5750  3 O 1.75
O: 0.2444 0.2444 0.7246  1 Ge 1.75
O: 0.2444 0.7246 0.2444  1 Ge 1.75
O: 0.2754 0.7556 0.7555  1 Ge 1.75
O: 0.7246 0.2444 0.2444  1 Ge 1.75
O: 0.7556 0.2754 0.7556  1 Ge 1.75
O: 0.7556 0.7556 0.2754  1 Ge 1.75

***

[10]
An optimized crystal structure of CsHoGeSe4, computed with GGA-PBE.

Computed properties:
Formation energy from raw total energies (eV per atom): -1.136

Cell: 6.7440 7.1325 9.8752 Å, 90.00 108.58 90.00°
Closest atoms and distances in Å follow each position.
Atoms (fractional coordinates):
Cs: 0.2504 0.2500 0.0588  8 Se 3.52-3.90
Cs: 0.7496 0.7500 0.9412  8 Se 3.52-3.90
Ho: 0.2240 0.2500 0.5477  6 Se 2.86-2.98
Ho: 0.7760 0.7500 0.4523  6 Se 2.86-2.98
Ge: 0.2220 0.7500 0.3402  4 Se 2.35-2.40
Ge: 0.7780 0.2500 0.6598  4 Se 2.35-2.40
Se: 0.0173 0.5078 0.6943  1 Ge 2.40
Se: 0.0173 0.9922 0.6943  1 Ge 2.40
Se: 0.4261 0.7500 0.1862  1 Ge 2.35
Se: 0.4472 0.7500 0.5777  1 Ge 2.35
Se: 0.5528 0.2500 0.4223  1 Ge 2.35
Se: 0.5739 0.2500 0.8138  1 Ge 2.35
Se: 0.9827 0.0078 0.3057  1 Ge 2.40
Se: 0.9827 0.4922 0.3057  1 Ge 2.40

***

Number 1: magnetic moment 0.0 μB/f.u., total energy -8.96 eV for the cell shown. Number 2: magnetic moment 0.0 μB/f.u., total energy -10.17 eV for the cell shown. Number 3: magnetic moment 7.6 μB/f.u., total energy -19.68 eV for the cell shown. Number 4: magnetic moment 0.0 μB/f.u., total energy -7.86 eV for the cell shown. Number 5: magnetic moment 0.0 μB/f.u., total energy -36.92 eV for the cell shown. Number 6: magnetic moment 0.0 μB/f.u., total energy -29.08 eV for the cell shown. Number 7: magnetic moment 0.0 μB/f.u., total energy -93.21 eV for the cell shown. Number 8: magnetic moment 0.0 μB/f.u., total energy -91.02 eV for the cell shown. Number 9: magnetic moment 0.9 μB/f.u., total energy -67.45 eV for the cell shown. Number 10: magnetic moment 0.0 μB/f.u., total energy -63.88 eV for the cell shown.